Entry from the Alexandria database: a geometry-optimized Na2CoO3 structure (PBE with a Hubbard U).

Calculated total energy, eV per cell: -118.23
Density of states at the Fermi level, states/eV/cell: 7.33
SG: P2_1/c

CIF file:
```
data_Na2CoO3
_chemical_formula_sum 'Na8 Co4 O12'
_cell_length_a 10.056
_cell_length_b 5.055
_cell_length_c 6.466
_cell_angle_alpha 85.39
_cell_angle_beta 90.00
_cell_angle_gamma 90.00
_space_group_name_H-M_alt 'P 1'
_space_group_IT_number 1
loop_
_space_group_symop_operation_xyz
'x,y,z'
loop_
_atom_site_label
_atom_site_type_symbol
_atom_site_fract_x
_atom_site_fract_y
_atom_site_fract_z
_atom_site_occupancy
Na1 Na 0.395 0.275 0.883 1
Na2 Na 0.605 0.725 0.117 1
Na3 Na 0.895 0.725 0.617 1
Na4 Na 0.717 0.261 0.838 1
Na5 Na 0.783 0.261 0.338 1
Na6 Na 0.283 0.739 0.162 1
Na7 Na 0.105 0.275 0.383 1
Na8 Na 0.217 0.739 0.662 1
O1 O 0.683 0.739 0.765 1
O2 O 0.544 0.213 0.594 1
O3 O 0.817 0.739 0.265 1
O4 O 0.956 0.213 0.094 1
O5 O 0.456 0.787 0.406 1
O6 O 0.317 0.261 0.235 1
O7 O 0.088 0.763 0.359 1
O8 O 0.912 0.237 0.641 1
O9 O 0.183 0.261 0.735 1
O10 O 0.044 0.787 0.906 1
O11 O 0.588 0.237 0.141 1
O12 O 0.412 0.763 0.859 1
Co1 Co 0.470 0.167 0.339 1
Co2 Co 0.970 0.833 0.161 1
Co3 Co 0.530 0.833 0.661 1
Co4 Co 0.030 0.167 0.839 1
```